The following is a DFT calculation (PBE with a Hubbard U) of a relaxed structure of UVH2O6.

The value obtained for the energy is -7.618 eV per atom.

The structure in CIF format:
```
data_UVH2O6
_cell_length_a 5.3243
_cell_length_b 5.4132
_cell_length_c 5.5268
_cell_angle_alpha 62.95
_cell_angle_beta 61.49
_cell_angle_gamma 65.54
_symmetry_space_group_name_H-M 'P 1'
_symmetry_Int_Tables_number 1
_symmetry_space_group_name_Hall 'P 1'
loop_
_atom_site_label
_atom_site_fract_x
_atom_site_fract_y
_atom_site_fract_z
U1 0.0000 0.0000 0.0000
V1 0.4925 0.4978 0.4733
H1 0.4823 0.9429 0.5311
H2 0.9536 0.4612 0.5280
O1 0.2100 0.6650 0.3271
O2 0.2573 0.2477 0.8422
O3 0.3481 0.8076 0.6604
O4 0.6836 0.1783 0.3174
O5 0.7681 0.7354 0.1334
O6 0.8135 0.3352 0.6500
```